Below is a relaxed CaVGe crystal, with properties calculated at the PBE level.

As for the formation energy: -0.10 eV/atom. The value obtained for the magnetic moment is 0.000 μB per atom.

It has space group C2/m (No. 12), with a = 9.491 Å, b = 4.625 Å, c = 7.042 Å, α = 90.00°, β = 127.62° and γ = 90.00°. The inequivalent atoms are Ca at (0.227, 0.000, 0.161), V at (0.070, 0.000, 0.442) and Ge at (0.071, 0.500, 0.253).